[1]
Compound: Ga2Pt2Rh
Source: Alexandria
Functional: PBE-GGA
Structure: relaxed

Structure (POSCAR):
```
Ga2Pt2Rh
1.0
-3.650 0.553 -1.947
-1.210 -2.677 -2.964
-2.395 -2.959 3.651
Ga Rh Pt
2 1 2
Direct
0.833 0.333 0.185 Ga
0.167 0.667 0.815 Ga
0.500 0.000 0.000 Rh
0.833 0.333 0.668 Pt
0.167 0.667 0.332 Pt
```

Summary:
Size of the total moment, μB per formula unit: 0.000
Energy above the most stable polymorph in this dataset, meV per atom: 0



[2]
Compound: KIn2Ru
Source: Alexandria
Functional: PBE-GGA
Structure: relaxed

Structure (POSCAR):
```
KIn2Ru
1.0
-5.327 -1.915 -6.273
-4.679 -6.298 -3.137
2.911 5.531 5.686
K In Ru
1 2 1
Direct
0.570 0.570 0.000 K
0.254 0.754 0.500 In
0.907 0.907 0.000 In
0.769 0.269 0.500 Ru
```

Summary:
Size of the total moment, μB per formula unit: 0.000
Energy above the most stable polymorph in this dataset, meV per atom: 9



[3]
Compound: LiAcNiGe
Source: Alexandria
Functional: PBE-GGA
Structure: relaxed

Structure (POSCAR):
```
LiAcNiGe
1.0
-1.097 -1.166 4.517
3.491 -0.775 3.190
0.755 3.144 3.537
Li Ac Ni Ge
1 1 1 1
Direct
0.750 0.750 0.750 Li
0.500 0.500 0.500 Ac
0.250 0.250 0.250 Ni
0.000 0.000 0.000 Ge
```

Summary:
Size of the total moment, μB per formula unit: 0.000
Energy, eV/atom: -4.4042



[4]
Compound: Ba2MgHF6
Source: Alexandria
Functional: PBE-GGA
Structure: relaxed

Structure (POSCAR):
```
Ba2MgHF6
1.0
-2.497 5.378 0.178
-4.663 -2.064 -3.031
-5.481 0.656 2.177
H Ba Mg F
1 2 1 6
Direct
0.500 0.500 0.000 H
0.750 0.250 0.500 Ba
0.250 0.750 0.500 Ba
0.000 0.000 0.000 Mg
0.233 0.233 0.000 F
0.233 0.767 0.000 F
0.767 0.767 0.466 F
0.233 0.233 0.534 F
0.767 0.233 0.000 F
0.767 0.767 0.000 F
```

Summary:
Size of the total moment, μB per formula unit: 1.000
Energy, eV/atom: -5.0375



[5]
Compound: NaSnMoH
Source: Alexandria
Functional: PBE-GGA
Structure: relaxed

Structure (POSCAR):
```
NaSnMoH
1.0
-1.949 1.884 -1.087
-1.992 -0.452 2.789
6.779 10.820 6.595
H Na Sn Mo
2 2 2 2
Direct
0.000 0.000 0.870 H
0.500 0.500 0.370 H
0.500 0.500 0.782 Na
0.000 0.000 0.282 Na
0.000 0.000 0.998 Sn
0.500 0.500 0.498 Sn
0.500 0.500 0.111 Mo
0.000 0.000 0.611 Mo
```

Summary:
Size of the total moment, μB per formula unit: 0.000
Energy above the most stable polymorph in this dataset, meV per atom: 327



[6]
Compound: Dy2BeFe5B2
Source: Alexandria
Functional: PBE-GGA
Structure: relaxed

Structure (POSCAR):
```
Dy2BeFe5B2
1.0
3.140 0.000 0.000
0.000 8.832 0.000
0.000 0.000 8.832
Fe Be Dy B
10 2 4 4
Direct
0.500 0.285 0.566 Fe
0.500 0.566 0.715 Fe
0.500 0.000 0.500 Fe
0.500 0.500 0.000 Fe
0.500 0.785 0.934 Fe
0.500 0.934 0.215 Fe
0.500 0.715 0.434 Fe
0.500 0.066 0.785 Fe
0.500 0.215 0.066 Fe
0.500 0.434 0.285 Fe
0.000 0.000 0.000 Be
0.000 0.500 0.500 Be
0.000 0.324 0.824 Dy
0.000 0.824 0.676 Dy
0.000 0.676 0.176 Dy
0.000 0.176 0.324 Dy
0.000 0.879 0.379 B
0.000 0.121 0.621 B
0.000 0.621 0.879 B
0.000 0.379 0.121 B
```

Summary:
Size of the total moment, μB per formula unit: 6.840
Energy, eV/atom: -6.9324